No. 1
A plane-wave DFT calculation with GGA-PBEsol was carried out for a relaxed AlVO3 crystal.

Calculated values
SG: Cm (8)
Density of states at the Fermi level in states/eV per atom: 0.150

```
data_AlVO3
_cell_length_a 5.808
_cell_length_b 5.622
_cell_length_c 12.781
_cell_angle_alpha 102.70
_cell_angle_beta 101.17
_cell_angle_gamma 90.00
_space_group_name_H-M_alt 'P 1'
_space_group_IT_number 1
loop_
_space_group_symop_operation_xyz
'x,y,z'
loop_
_atom_site_label
_atom_site_type_symbol
_atom_site_fract_x
_atom_site_fract_y
_atom_site_fract_z
Al1 Al 0.027 0.007 0.014
Al2 Al 0.306 0.538 0.075
Al3 Al 0.782 0.538 0.077
Al4 Al 0.652 0.661 0.321
Al5 Al 0.461 0.208 0.417
Al6 Al 0.259 0.756 0.512
Al7 Al 0.123 0.875 0.751
Al8 Al 0.939 0.416 0.831
V1 V 0.122 0.380 0.255
V2 V 0.122 0.875 0.255
V3 V 0.961 0.206 0.413
V4 V 0.784 0.039 0.582
V5 V 0.784 0.543 0.582
V6 V 0.606 0.885 0.771
V7 V 0.478 0.175 0.912
V8 V 0.478 0.737 0.912
O1 O 0.539 0.313 0.065
O2 O 0.539 0.753 0.065
O3 O 0.052 0.319 0.087
O4 O 0.052 0.768 0.087
O5 O 0.859 0.617 0.235
O6 O 0.365 0.618 0.236
O7 O 0.900 0.127 0.255
O8 O 0.350 0.135 0.270
O9 O 0.221 0.963 0.422
O10 O 0.221 0.458 0.422
O11 O 0.696 0.452 0.412
O12 O 0.696 0.959 0.412
O13 O 0.997 0.285 0.569
O14 O 0.557 0.282 0.565
O15 O 0.543 0.797 0.595
O16 O 0.045 0.798 0.595
O17 O 0.884 0.641 0.750
O18 O 0.884 0.108 0.750
O19 O 0.366 0.107 0.760
O20 O 0.366 0.653 0.760
O21 O 0.212 0.957 0.914
O22 O 0.746 0.964 0.928
O23 O 0.224 0.459 0.919
O24 O 0.721 0.458 0.917
```

No. 2
A plane-wave DFT calculation with GGA-PBEsol was carried out for a relaxed AlVO3 crystal.

Calculated values
SG: R-3 (148)
Density of states at the Fermi level in states/eV per atom: 0.579

```
data_AlVO3
_cell_length_a 4.841
_cell_length_b 4.841
_cell_length_c 5.333
_cell_angle_alpha 63.01
_cell_angle_beta 63.01
_cell_angle_gamma 60.00
_space_group_name_H-M_alt 'P 1'
_space_group_IT_number 1
loop_
_space_group_symop_operation_xyz
'x,y,z'
loop_
_atom_site_label
_atom_site_type_symbol
_atom_site_fract_x
_atom_site_fract_y
_atom_site_fract_z
Al1 Al 0.151 0.151 0.548
Al2 Al 0.849 0.849 0.452
O1 O 0.558 0.943 0.263
O2 O 0.764 0.442 0.737
O3 O 0.057 0.764 0.737
O4 O 0.943 0.236 0.263
O5 O 0.236 0.558 0.263
O6 O 0.442 0.057 0.737
V1 V 0.348 0.348 0.955
V2 V 0.652 0.652 0.045
```

No. 3
A plane-wave DFT calculation with GGA-PBEsol was carried out for a relaxed AlVO3 crystal.

Calculated values
SG: Pnma (62)
Density of states at the Fermi level in states/eV per atom: 0.206

```
data_AlVO3
_cell_length_a 4.953
_cell_length_b 5.153
_cell_length_c 6.892
_cell_angle_alpha 90.00
_cell_angle_beta 90.00
_cell_angle_gamma 90.00
_space_group_name_H-M_alt 'P 1'
_space_group_IT_number 1
loop_
_space_group_symop_operation_xyz
'x,y,z'
loop_
_atom_site_label
_atom_site_type_symbol
_atom_site_fract_x
_atom_site_fract_y
_atom_site_fract_z
Al1 Al 0.000 0.500 0.500
Al2 Al 0.000 0.500 0.000
Al3 Al 0.500 0.000 0.500
Al4 Al 0.500 0.000 0.000
V1 V 0.993 0.939 0.250
V2 V 0.507 0.439 0.250
V3 V 0.493 0.561 0.750
V4 V 0.007 0.061 0.750
O1 O 0.121 0.433 0.750
O2 O 0.167 0.174 0.057
O3 O 0.167 0.174 0.443
O4 O 0.333 0.674 0.443
O5 O 0.333 0.674 0.057
O6 O 0.379 0.933 0.750
O7 O 0.621 0.067 0.250
O8 O 0.667 0.326 0.943
O9 O 0.667 0.326 0.557
O10 O 0.833 0.826 0.557
O11 O 0.833 0.826 0.943
O12 O 0.879 0.567 0.250
```

No. 4
A plane-wave DFT calculation with GGA-PBEsol was carried out for a relaxed AlVW2O8 crystal.

Calculated values
SG: P2/c (13)
Density of states at the Fermi level in states/eV per atom: 0.380

```
data_AlVW2O8
_cell_length_a 4.916
_cell_length_b 5.442
_cell_length_c 9.106
_cell_angle_alpha 90.00
_cell_angle_beta 87.98
_cell_angle_gamma 90.00
_space_group_name_H-M_alt 'P 1'
_space_group_IT_number 1
loop_
_space_group_symop_operation_xyz
'x,y,z'
loop_
_atom_site_label
_atom_site_type_symbol
_atom_site_fract_x
_atom_site_fract_y
_atom_site_fract_z
Al1 Al 0.250 0.370 0.750
Al2 Al 0.750 0.630 0.250
V1 V 0.750 0.637 0.750
V2 V 0.250 0.363 0.250
W1 W 0.776 0.138 0.506
W2 W 0.724 0.138 0.994
W3 W 0.224 0.862 0.494
W4 W 0.276 0.862 0.006
O1 O 0.404 0.630 0.866
O2 O 0.096 0.630 0.634
O3 O 0.596 0.370 0.134
O4 O 0.904 0.370 0.366
O5 O 0.414 0.124 0.388
O6 O 0.086 0.124 0.112
O7 O 0.586 0.876 0.612
O8 O 0.914 0.876 0.888
O9 O 0.914 0.381 0.863
O10 O 0.586 0.381 0.637
O11 O 0.086 0.619 0.137
O12 O 0.414 0.619 0.363
O13 O 0.407 0.142 0.871
O14 O 0.593 0.858 0.129
O15 O 0.093 0.142 0.629
O16 O 0.907 0.858 0.371
```

No. 5
A plane-wave DFT calculation with GGA-PBEsol was carried out for a relaxed AlWO2 crystal.

Calculated values
SG: I-42d (122)
Density of states at the Fermi level in states/eV per atom: 0.462

```
data_AlWO2
_cell_length_a 4.640
_cell_length_b 5.377
_cell_length_c 4.640
_cell_angle_alpha 115.56
_cell_angle_beta 90.00
_cell_angle_gamma 115.56
_space_group_name_H-M_alt 'P 1'
_space_group_IT_number 1
loop_
_space_group_symop_operation_xyz
'x,y,z'
loop_
_atom_site_label
_atom_site_type_symbol
_atom_site_fract_x
_atom_site_fract_y
_atom_site_fract_z
O1 O 0.449 0.250 0.375
O2 O 0.801 0.250 0.875
O3 O 0.125 0.750 0.551
O4 O 0.625 0.750 0.199
Al1 Al 0.750 0.500 0.250
Al2 Al 0.500 0.000 0.500
W1 W 0.250 0.500 0.750
W2 W 0.000 0.000 0.000
```

No. 6
A plane-wave DFT calculation with GGA-PBEsol was carried out for a relaxed AlWO4 crystal.

Calculated values
SG: C2/m (12)

```
data_AlWO4
_cell_length_a 4.568
_cell_length_b 5.388
_cell_length_c 5.388
_cell_angle_alpha 115.82
_cell_angle_beta 91.90
_cell_angle_gamma 88.10
_space_group_name_H-M_alt 'P 1'
_space_group_IT_number 1
loop_
_space_group_symop_operation_xyz
'x,y,z'
loop_
_atom_site_label
_atom_site_type_symbol
_atom_site_fract_x
_atom_site_fract_y
_atom_site_fract_z
Al1 Al 0.511 0.260 0.740
Al2 Al 0.489 0.740 0.260
W1 W 0.000 0.771 0.771
W2 W 0.000 0.229 0.229
O1 O 0.200 0.598 0.402
O2 O 0.800 0.402 0.598
O3 O 0.777 0.885 0.115
O4 O 0.223 0.115 0.885
O5 O 0.698 0.397 0.096
O6 O 0.302 0.096 0.397
O7 O 0.302 0.603 0.904
O8 O 0.698 0.904 0.603
```

No. 7
A plane-wave DFT calculation with GGA-PBEsol was carried out for a relaxed Al2W3O12 crystal.

Calculated values
SG: P2_1/c (14)
Density of states at the Fermi level in states/eV per atom: 0.000

```
data_Al2W3O12
_cell_length_a 9.103
_cell_length_b 9.193
_cell_length_c 12.677
_cell_angle_alpha 90.00
_cell_angle_beta 90.03
_cell_angle_gamma 90.00
_space_group_name_H-M_alt 'P 1'
_space_group_IT_number 1
loop_
_space_group_symop_operation_xyz
'x,y,z'
loop_
_atom_site_label
_atom_site_type_symbol
_atom_site_fract_x
_atom_site_fract_y
_atom_site_fract_z
Al1 Al 0.000 0.467 0.131
Al2 Al 0.500 0.466 0.869
Al3 Al 0.500 0.534 0.369
Al4 Al 0.000 0.535 0.631
Al5 Al 0.500 0.966 0.131
Al6 Al 0.000 0.035 0.369
Al7 Al 0.500 0.034 0.631
Al8 Al 0.000 0.967 0.869
W1 W 0.854 0.382 0.394
W2 W 0.354 0.382 0.605
W3 W 0.146 0.882 0.606
W4 W 0.774 0.250 0.750
W5 W 0.354 0.119 0.894
W6 W 0.854 0.120 0.105
W7 W 0.226 0.750 0.250
W8 W 0.146 0.620 0.895
W9 W 0.646 0.882 0.395
W10 W 0.726 0.751 0.750
W11 W 0.274 0.251 0.250
W12 W 0.646 0.619 0.106
O1 O 0.660 0.338 0.845
O2 O 0.434 0.492 0.505
O3 O 0.567 0.929 0.271
O4 O 0.566 0.992 0.495
O5 O 0.840 0.837 0.846
O6 O 0.887 0.380 0.685
O7 O 0.611 0.807 0.081
O8 O 0.434 0.072 0.771
O9 O 0.160 0.163 0.345
O10 O 0.615 0.882 0.685
O11 O 0.433 0.429 0.729
O12 O 0.839 0.910 0.390
O13 O 0.660 0.091 0.110
O14 O 0.115 0.619 0.185
O15 O 0.934 0.009 0.005
O16 O 0.068 0.993 0.505
O17 O 0.568 0.508 0.005
O18 O 0.340 0.664 0.346
O19 O 0.112 0.694 0.581
O20 O 0.389 0.307 0.919
O21 O 0.932 0.072 0.229
O22 O 0.160 0.337 0.154
O23 O 0.160 0.092 0.888
O24 O 0.113 0.880 0.315
O25 O 0.340 0.909 0.612
O26 O 0.113 0.808 0.918
O27 O 0.840 0.592 0.112
O28 O 0.613 0.693 0.418
O29 O 0.066 0.929 0.729
O30 O 0.888 0.194 0.419
O31 O 0.432 0.008 0.995
O32 O 0.161 0.410 0.610
O33 O 0.885 0.119 0.815
O34 O 0.066 0.509 0.995
O35 O 0.068 0.572 0.771
O36 O 0.840 0.663 0.655
O37 O 0.566 0.572 0.229
O38 O 0.887 0.308 0.082
O39 O 0.340 0.591 0.890
O40 O 0.932 0.493 0.495
O41 O 0.385 0.382 0.315
O42 O 0.934 0.429 0.271
O43 O 0.660 0.164 0.654
O44 O 0.660 0.409 0.388
O45 O 0.387 0.121 0.185
O46 O 0.613 0.621 0.815
O47 O 0.387 0.193 0.582
O48 O 0.340 0.838 0.155
```

No. 8
A plane-wave DFT calculation with GGA-PBEsol was carried out for a relaxed AlWO4 crystal.

Calculated values
SG: Cmmm (65)
Density of states at the Fermi level in states/eV per atom: 0.100

```
data_AlWO4
_cell_length_a 2.821
_cell_length_b 4.599
_cell_length_c 4.599
_cell_angle_alpha 92.65
_cell_angle_beta 90.00
_cell_angle_gamma 90.00
_space_group_name_H-M_alt 'P 1'
_space_group_IT_number 1
loop_
_space_group_symop_operation_xyz
'x,y,z'
loop_
_atom_site_label
_atom_site_type_symbol
_atom_site_fract_x
_atom_site_fract_y
_atom_site_fract_z
W1 W 0.500 0.000 0.000
Al1 Al 0.000 0.500 0.500
O1 O 0.500 0.301 0.301
O2 O 0.500 0.699 0.699
O3 O 0.000 0.785 0.215
O4 O 0.000 0.215 0.785
```

Short version: formation energy without anion corrections = -2599 -2628 -2525 -2282 -1110 -2508 -2362 -2472 meV/atom, in the order given.